a:
MgBeBr3 | Alexandria | PBE | relaxed; ρ = 3.92 g/cm³; symmetry = Pm-3m (221)
1.0
4.871 0.000 0.000
0.000 4.871 0.000
0.000 0.000 4.871
Mg Be Br
1 1 3
direct
0.500 0.500 0.500
0.000 0.000 0.000
0.000 0.500 0.000
0.000 0.000 0.500
0.500 0.000 0.000

b:
MgBeBr3 | Alexandria | PBE | relaxed; ρ = 3.16 g/cm³; symmetry = Pm-3m (221)
1.0
5.236 0.000 0.000
0.000 5.236 0.000
0.000 0.000 5.236
Mg Be Br
1 1 3
direct
0.000 0.000 0.000
0.500 0.500 0.500
0.000 0.500 0.000
0.000 0.000 0.500
0.500 0.000 0.000

Energy relative to the most stable one, in eV/atom: a 0.000; b 0.220